The following is a PBE calculation of a relaxed structure of CsNdFeCl6, from Alexandria via LeMat-Bulk.

The space group is C2 (No. 5) and the conventional cell measures 6.905, 11.955 and 7.746 Å, with angles of 90.00, 90.15 and 90.00 degrees. Symmetry generates all atoms from Cs at (0.000, 0.000, 0.000), Nd at (0.000, 0.334, 0.500), Fe at (0.000, 0.667, 0.500), Cl at (0.119, 0.513, 0.695), Cl at (0.169, 0.804, 0.693) and Cl at (0.209, 0.181, 0.692).

The value obtained for the uncorrected formation energy is -15.24 eV per formula unit. The calculation puts the density of states at the Fermi level at 13.6 states/eV per cell.